Entry 1:
# Sr2TmSn3Ir4 (PBE, optimized geometry)
data_Sr2TmSn3Ir4
_chemical_formula_sum 'Sr2 Tm1 Sn3 Ir4'
_space_group_name_H-M_alt 'P 1'
_space_group_IT_number 1
_space_group_name_Hall 'P 1'
_cell_length_a 4.466
_cell_length_b 4.466
_cell_length_c 11.575
_cell_angle_alpha 90.00
_cell_angle_beta 90.00
_cell_angle_gamma 90.00
loop_
_atom_site_label
_atom_site_type_symbol
_atom_site_fract_x
_atom_site_fract_y
_atom_site_fract_z
Sr1 Sr 0.500 0.000 0.236
Sr2 Sr 0.000 0.500 0.764
Ir1 Ir 0.000 0.000 0.000
Ir2 Ir 0.000 0.500 0.359
Ir3 Ir 0.500 0.500 0.000
Ir4 Ir 0.500 0.000 0.641
Sn1 Sn 0.500 0.000 0.875
Sn2 Sn 0.000 0.500 0.125
Sn3 Sn 0.000 0.000 0.500
Tm1 Tm 0.500 0.500 0.500
# formation energy = -0.553 eV/atom
# crystal system = tetragonal
# DOS(E_F) = 4.6 states/eV/f.u.
# calculated total energy = -60.82 eV/cell

---

Entry 2:
# SrV2SnIr (PBE, optimized geometry)
data_SrV2SnIr
_chemical_formula_sum 'Sr1 V2 Sn1 Ir1'
_space_group_name_H-M_alt 'P 1'
_space_group_IT_number 1
_space_group_name_Hall 'P 1'
_cell_length_a 4.938
_cell_length_b 5.116
_cell_length_c 4.938
_cell_angle_alpha 90.00
_cell_angle_beta 90.00
_cell_angle_gamma 90.00
loop_
_atom_site_label
_atom_site_type_symbol
_atom_site_fract_x
_atom_site_fract_y
_atom_site_fract_z
Ir1 Ir 0.000 0.000 0.000
V1 V 0.000 0.000 0.500
V2 V 0.500 0.000 0.000
Sr1 Sr 0.500 0.500 0.500
Sn1 Sn 0.000 0.500 0.000
# formation energy = 0.394 eV/atom
# crystal system = tetragonal
# DOS(E_F) = 3.8 states/eV/f.u.
# calculated total energy = -30.81 eV/cell

---

Entry 3:
# Sr2ZnSn3Ir4 (PBE, optimized geometry)
data_Sr2ZnSn3Ir4
_chemical_formula_sum 'Sr2 Zn1 Sn3 Ir4'
_space_group_name_H-M_alt 'P 1'
_space_group_IT_number 1
_space_group_name_Hall 'P 1'
_cell_length_a 4.446
_cell_length_b 4.446
_cell_length_c 11.095
_cell_angle_alpha 90.00
_cell_angle_beta 90.00
_cell_angle_gamma 90.00
loop_
_atom_site_label
_atom_site_type_symbol
_atom_site_fract_x
_atom_site_fract_y
_atom_site_fract_z
Sn1 Sn 0.000 0.000 0.500
Sn2 Sn 0.500 0.000 0.869
Sn3 Sn 0.000 0.500 0.131
Sr1 Sr 0.500 0.000 0.253
Sr2 Sr 0.000 0.500 0.747
Ir1 Ir 0.000 0.500 0.370
Ir2 Ir 0.000 0.000 0.000
Ir3 Ir 0.500 0.000 0.630
Ir4 Ir 0.500 0.500 0.000
Zn1 Zn 0.500 0.500 0.500
# formation energy = -0.423 eV/atom
# crystal system = tetragonal
# DOS(E_F) = 5.2 states/eV/f.u.
# calculated total energy = -56.32 eV/cell

---

Entry 4:
# Sr2ZnSn4Ir3 (PBE, optimized geometry)
data_Sr2ZnSn4Ir3
_chemical_formula_sum 'Sr2 Zn1 Sn4 Ir3'
_space_group_name_H-M_alt 'P 1'
_space_group_IT_number 1
_space_group_name_Hall 'P 1'
_cell_length_a 4.588
_cell_length_b 4.588
_cell_length_c 11.052
_cell_angle_alpha 90.00
_cell_angle_beta 90.00
_cell_angle_gamma 90.00
loop_
_atom_site_label
_atom_site_type_symbol
_atom_site_fract_x
_atom_site_fract_y
_atom_site_fract_z
Sn1 Sn 0.500 0.000 0.632
Sn2 Sn 0.500 0.500 0.000
Sn3 Sn 0.000 0.000 0.000
Sn4 Sn 0.000 0.500 0.368
Zn1 Zn 0.500 0.500 0.500
Sr1 Sr 0.000 0.500 0.750
Sr2 Sr 0.500 0.000 0.250
Ir1 Ir 0.000 0.000 0.500
Ir2 Ir 0.500 0.000 0.872
Ir3 Ir 0.000 0.500 0.128
# formation energy = -0.412 eV/atom
# crystal system = tetragonal
# DOS(E_F) = 6.7 states/eV/f.u.
# calculated total energy = -51.35 eV/cell

---

Entry 5:
# Ta2SnIr2 (PBE, optimized geometry)
data_Ta2SnIr2
_chemical_formula_sum 'Ta4 Sn2 Ir4'
_space_group_name_H-M_alt 'P 1'
_space_group_IT_number 1
_space_group_name_Hall 'P 1'
_cell_length_a 7.806
_cell_length_b 7.806
_cell_length_c 2.938
_cell_angle_alpha 90.00
_cell_angle_beta 90.00
_cell_angle_gamma 90.00
loop_
_atom_site_label
_atom_site_type_symbol
_atom_site_fract_x
_atom_site_fract_y
_atom_site_fract_z
Ta1 Ta 0.660 0.840 0.500
Ta2 Ta 0.340 0.160 0.500
Ta3 Ta 0.160 0.660 0.500
Ta4 Ta 0.840 0.340 0.500
Ir1 Ir 0.368 0.868 0.000
Ir2 Ir 0.132 0.368 0.000
Ir3 Ir 0.868 0.632 0.000
Ir4 Ir 0.632 0.132 0.000
Sn1 Sn 0.500 0.500 0.000
Sn2 Sn 0.000 0.000 0.000
# formation energy = -0.392 eV/atom
# crystal system = tetragonal
# ΔE to the lowest computed polymorph = 0 meV/atom
# DOS(E_F) = 3.1 states/eV/f.u.
# calculated total energy = -94.78 eV/cell

---

Entry 6:
# TaSn2Ir (PBE, optimized geometry)
data_TaSn2Ir
_chemical_formula_sum 'Ta2 Sn4 Ir2'
_space_group_name_H-M_alt 'P 1'
_space_group_IT_number 1
_space_group_name_Hall 'P 1'
_cell_length_a 4.149
_cell_length_b 4.149
_cell_length_c 10.139
_cell_angle_alpha 78.20
_cell_angle_beta 78.20
_cell_angle_gamma 90.00
loop_
_atom_site_label
_atom_site_type_symbol
_atom_site_fract_x
_atom_site_fract_y
_atom_site_fract_z
Sn1 Sn 0.117 0.625 0.250
Sn2 Sn 0.633 0.125 0.250
Sn3 Sn 0.875 0.883 0.750
Sn4 Sn 0.375 0.367 0.750
Ir1 Ir 0.750 0.250 0.500
Ir2 Ir 0.000 0.000 0.000
Ta1 Ta 0.500 0.500 0.000
Ta2 Ta 0.250 0.750 0.500
# formation energy = 0.379 eV/atom
# crystal system = tetragonal
# DOS(E_F) = 3.6 states/eV/f.u.
# calculated total energy = -54.41 eV/cell

---

Entry 7:
# TaSn2Ir (PBE, optimized geometry)
data_TaSn2Ir
_chemical_formula_sum 'Ta1 Sn2 Ir1'
_space_group_name_H-M_alt 'P 1'
_space_group_IT_number 1
_space_group_name_Hall 'P 1'
_cell_length_a 4.744
_cell_length_b 4.744
_cell_length_c 4.744
_cell_angle_alpha 60.00
_cell_angle_beta 60.00
_cell_angle_gamma 60.00
loop_
_atom_site_label
_atom_site_type_symbol
_atom_site_fract_x
_atom_site_fract_y
_atom_site_fract_z
Ta1 Ta 0.000 0.000 0.000
Sn1 Sn 0.750 0.750 0.750
Sn2 Sn 0.250 0.250 0.250
Ir1 Ir 0.500 0.500 0.500
# formation energy = 0.284 eV/atom
# crystal system = cubic
# DOS(E_F) = 5.6 states/eV/f.u.
# calculated total energy = -27.58 eV/cell

---

Entry 8:
# TaSn3Ir (PBE, optimized geometry)
data_TaSn3Ir
_chemical_formula_sum 'Ta1 Sn3 Ir1'
_space_group_name_H-M_alt 'P 1'
_space_group_IT_number 1
_space_group_name_Hall 'P 1'
_cell_length_a 5.301
_cell_length_b 5.301
_cell_length_c 5.301
_cell_angle_alpha 90.00
_cell_angle_beta 90.00
_cell_angle_gamma 90.00
loop_
_atom_site_label
_atom_site_type_symbol
_atom_site_fract_x
_atom_site_fract_y
_atom_site_fract_z
Sn1 Sn 0.000 0.000 0.500
Sn2 Sn 0.500 0.000 0.000
Sn3 Sn 0.000 0.500 0.000
Ta1 Ta 0.000 0.000 0.000
Ir1 Ir 0.500 0.500 0.500
# formation energy = 1.306 eV/atom
# crystal system = cubic
# ΔE to the lowest computed polymorph = 336 meV/atom
# DOS(E_F) = 6.2 states/eV/f.u.
# calculated total energy = -26.19 eV/cell

---

Entry 9:
# Ta2SnIr2 (PBE, optimized geometry)
data_Ta2SnIr2
_chemical_formula_sum 'Ta2 Sn1 Ir2'
_space_group_name_H-M_alt 'P 1'
_space_group_IT_number 1
_space_group_name_Hall 'P 1'
_cell_length_a 4.805
_cell_length_b 4.805
_cell_length_c 4.969
_cell_angle_alpha 90.00
_cell_angle_beta 90.00
_cell_angle_gamma 90.00
loop_
_atom_site_label
_atom_site_type_symbol
_atom_site_fract_x
_atom_site_fract_y
_atom_site_fract_z
Sn1 Sn 0.500 0.500 0.500
Ta1 Ta 0.000 0.000 0.000
Ta2 Ta 0.000 0.000 0.500
Ir1 Ir 0.500 0.000 0.000
Ir2 Ir 0.000 0.500 0.000
# formation energy = 1.352 eV/atom
# crystal system = tetragonal
# ΔE to the lowest computed polymorph = 1744 meV/atom
# DOS(E_F) = 6.1 states/eV/f.u.
# calculated total energy = -38.67 eV/cell

---

Entry 10:
# TaSnIr2 (PBE, optimized geometry)
data_TaSnIr2
_chemical_formula_sum 'Ta2 Sn2 Ir4'
_space_group_name_H-M_alt 'P 1'
_space_group_IT_number 1
_space_group_name_Hall 'P 1'
_cell_length_a 5.924
_cell_length_b 5.924
_cell_length_c 7.105
_cell_angle_alpha 65.36
_cell_angle_beta 65.36
_cell_angle_gamma 90.00
loop_
_atom_site_label
_atom_site_type_symbol
_atom_site_fract_x
_atom_site_fract_y
_atom_site_fract_z
Ta1 Ta 0.000 0.000 0.000
Ta2 Ta 0.750 0.250 0.500
Ir1 Ir 0.375 0.359 0.750
Ir2 Ir 0.109 0.625 0.250
Ir3 Ir 0.641 0.125 0.250
Ir4 Ir 0.875 0.891 0.750
Sn1 Sn 0.500 0.500 0.000
Sn2 Sn 0.250 0.750 0.500
# formation energy = 0.367 eV/atom
# crystal system = tetragonal
# DOS(E_F) = 1.9 states/eV/f.u.
# calculated total energy = -64.22 eV/cell